1.
PBE FeSbTe2, relaxed; ΔE_f (raw) = 0.62 eV/atom
1.0
5.1585 0.0000 0.0000
0.0000 5.1585 0.0000
0.0000 0.0000 7.2387
Fe Sb Te
2 2 4
direct
0.0000 0.0000 0.0000
0.5000 0.5000 0.5000
0.0000 0.5000 0.2500
0.5000 0.0000 0.7500
0.0000 0.0000 0.5000
0.0000 0.5000 0.7500
0.5000 0.0000 0.2500
0.5000 0.5000 0.0000

=====

2.
PBE ZrAlRe, relaxed; energy of formation = -0.272 eV/atom
1.0
3.3755 0.0000 0.0000
0.0000 3.3755 0.0000
0.0000 0.0000 9.1918
Zr Al Re
2 2 2
direct
0.0000 0.0000 0.0000
0.5000 0.5000 0.5000
0.0000 0.0000 0.6922
0.5000 0.5000 0.1922
0.0000 0.0000 0.3346
0.5000 0.5000 0.8346

=====

3.
PBE SiBr3, relaxed; ΔE_f (raw) = 0.10 eV/atom
1.0
3.6603 0.0000 0.0000
-1.8302 3.1699 0.0000
0.0000 0.0000 10.5090
Si Br
1 3
direct
0.0000 0.0000 0.0000
0.0000 0.0000 0.5000
0.3333 0.6667 0.1697
0.3333 0.6667 0.8303

=====

4.
PBE Si2PbBrCl, relaxed; ΔE_f (raw) = 0.82 eV/atom
1.0
5.1251 0.0000 0.0000
0.0000 5.1251 0.0000
0.0000 0.0000 6.5530
Si Pb Br Cl
2 1 1 1
direct
0.0000 0.5000 0.0000
0.5000 0.0000 0.0000
0.0000 0.0000 0.5000
0.5000 0.5000 0.0000
0.5000 0.5000 0.5000

=====

5.
PBE Zr2NbIr5Ru, relaxed; energy of formation = 0.171 eV/atom
1.0
-3.8496 3.8496 5.3827
3.8496 -3.8496 5.3827
3.8496 3.8496 -5.3827
Zr Nb Ir Ru
4 2 10 2
direct
0.1227 0.6227 0.7454
0.3773 0.1227 0.5000
0.6227 0.8773 0.5000
0.8773 0.3773 0.2546
0.2500 0.2500 0.0000
0.7500 0.7500 0.0000
0.0000 0.0000 0.0000
0.0560 0.1710 0.5000
0.1710 0.6710 0.1150
0.3290 0.4440 0.5000
0.4440 0.9440 0.1150
0.5000 0.5000 0.0000
0.5560 0.0560 0.8850
0.6710 0.5560 0.5000
0.8290 0.3290 0.8850
0.9440 0.8290 0.5000
0.2500 0.7500 0.5000
0.7500 0.2500 0.5000

=====

6.
PBE SiTeAs2Br, relaxed; ΔE_f (raw) = 0.48 eV/atom
1.0
5.0064 0.0000 0.0000
0.0000 5.0064 0.0000
0.0000 0.0000 4.7748
Si Te As Br
1 1 2 1
direct
0.0000 0.0000 0.0000
0.5000 0.5000 0.5000
0.0000 0.5000 0.0000
0.5000 0.0000 0.0000
0.0000 0.0000 0.5000